DFT (PBE+U) results for Na6Fe2B4AsO16 after structural relaxation.

The electronic total energy is -1452.45 eV for the cell shown.

The space group is Fd-3 (No. 203, origin choice 2) and the conventional cell measures 14.1805, 14.1805 and 14.1805 Å, with angles of 90.00, 90.00 and 90.00 degrees. Symmetry generates all atoms from Na at (0.0903, 0.3750, 0.3750), Fe at (0.0000, 0.0000, 0.5000), B at (0.0370, 0.0370, 0.7130), As at (0.1250, 0.1250, 0.1250), O at (0.0209, 0.1108, 0.7741) and O at (0.0549, 0.0549, 0.0549).